(1)
First-principles (PBEsol) data for a geometry-optimized CrIr2Rh structure, as listed in the Alexandria database.

The structure in POSCAR format:
```
CrIr2Rh
1.0
-0.623 2.591 -0.049
-2.147 0.880 1.313
3.908 2.454 7.453
Ir Rh Cr
2 1 1
Direct
0.746 0.746 0.763 Ir
0.254 0.254 0.237 Ir
0.500 0.500 0.500 Rh
0.000 0.000 0.000 Cr
```

Summary:
The calculated formation energy is -0.095 eV per atom.

(2)
First-principles (PBEsol) data for a geometry-optimized Li4FeBiTe2O12 structure, as listed in the Alexandria database.

The structure in POSCAR format:
```
Li4FeBiTe2O12
1.0
-3.671 -2.689 -2.415
3.287 -0.696 -4.276
2.978 -6.398 2.599
O Te Li Fe Bi
12 2 4 1 1
Direct
0.627 0.468 0.760 O
0.307 0.179 0.550 O
0.645 0.171 0.067 O
0.708 0.808 0.427 O
0.329 0.805 0.912 O
0.856 0.963 0.743 O
0.177 0.684 0.550 O
0.370 0.487 0.236 O
0.803 0.293 0.434 O
0.152 0.979 0.261 O
0.199 0.322 0.908 O
0.829 0.645 0.064 O
0.001 0.002 0.501 Te
0.499 0.501 0.000 Te
0.504 0.107 0.316 Li
0.992 0.559 0.760 Li
0.004 0.555 0.309 Li
0.497 0.090 0.763 Li
0.502 0.522 0.505 Fe
0.999 0.002 0.006 Bi
```

Summary:
The total energy comes out at -5.926 eV/atom.

(3)
First-principles (PBEsol) data for a geometry-optimized ZnSb2Ir structure, as listed in the Alexandria database.

The structure in POSCAR format:
```
ZnSb2Ir
1.0
3.183 0.000 0.000
0.000 3.183 0.000
0.000 0.000 7.739
Zn Ir Sb
1 1 2
Direct
0.500 0.500 0.000 Zn
0.500 0.500 0.500 Ir
0.000 0.000 0.723 Sb
0.000 0.000 0.277 Sb
```

Summary:
Its offset from the most stable computed form is 0 meV per atom.

(4)
First-principles (PBEsol) data for a geometry-optimized CsTlCl3 structure, as listed in the Alexandria database.

The structure in POSCAR format:
```
CsTlCl3
1.0
7.784 0.000 0.000
3.892 6.741 0.000
3.892 2.247 6.356
Cl Tl Cs
6 2 2
Direct
0.736 0.264 0.264 Cl
0.264 0.736 0.264 Cl
0.264 0.736 0.736 Cl
0.736 0.736 0.264 Cl
0.736 0.264 0.736 Cl
0.264 0.264 0.736 Cl
0.000 0.000 0.000 Tl
0.500 0.500 0.500 Tl
0.750 0.750 0.750 Cs
0.250 0.250 0.250 Cs
```

Summary:
The total energy comes out at -3.221 eV/atom.

(5)
First-principles (PBEsol) data for a geometry-optimized Os2RuW structure, as listed in the Alexandria database.

The structure in POSCAR format:
```
Os2RuW
1.0
-1.912 3.323 0.102
-2.847 -1.698 1.929
4.112 0.082 2.329
Ru W Os
1 1 2
Direct
0.000 0.000 0.000 Ru
0.500 0.500 0.000 W
0.250 0.750 0.500 Os
0.750 0.250 0.500 Os
```

Summary:
Its offset from the most stable computed form is 42 meV per atom. The calculated formation energy is 0.034 eV per atom.

(6)
First-principles (PBEsol) data for a geometry-optimized BAsO2F structure, as listed in the Alexandria database.

The structure in POSCAR format:
```
BAsO2F
1.0
-2.204 2.014 -1.628
1.394 -0.880 -2.974
-2.309 -2.745 -0.270
F O As B
1 2 1 1
Direct
0.000 0.000 0.500 F
0.000 0.500 0.000 O
0.500 0.000 0.000 O
0.500 0.500 0.500 As
0.000 0.000 0.000 B
```

Summary:
The total energy comes out at -5.518 eV/atom.

(7)
First-principles (PBEsol) data for a geometry-optimized Mn6PtRh structure, as listed in the Alexandria database.

The structure in POSCAR format:
```
Mn6PtRh
1.0
3.630 0.000 0.000
0.000 3.630 0.000
0.000 0.000 7.260
Mn Pt Rh
6 1 1
Direct
0.500 0.500 0.500 Mn
0.500 0.000 0.253 Mn
0.000 0.500 0.253 Mn
0.500 0.000 0.747 Mn
0.500 0.500 0.000 Mn
0.000 0.500 0.747 Mn
0.000 0.000 0.000 Pt
0.000 0.000 0.500 Rh
```

Summary:
The calculated formation energy is -0.099 eV per atom.

(8)
First-principles (PBEsol) data for a geometry-optimized RbSbSO4F2 structure, as listed in the Alexandria database.

The structure in POSCAR format:
```
RbSbSO4F2
1.0
5.293 0.000 0.000
0.000 9.526 0.000
0.000 0.000 11.426
S O F Rb Sb
4 16 8 4 4
Direct
0.203 0.808 0.127 S
0.703 0.192 0.873 S
0.203 0.308 0.373 S
0.703 0.692 0.627 S
0.473 0.131 0.934 O
0.359 0.928 0.165 O
0.840 0.790 0.552 O
0.973 0.369 0.434 O
0.096 0.233 0.268 O
0.973 0.869 0.066 O
0.859 0.072 0.835 O
0.859 0.572 0.665 O
0.596 0.267 0.768 O
0.096 0.733 0.232 O
0.840 0.290 0.948 O
0.596 0.767 0.732 O
0.340 0.710 0.052 O
0.473 0.631 0.566 O
0.340 0.210 0.448 O
0.359 0.428 0.335 O
0.574 0.687 0.330 F
0.574 0.187 0.170 F
0.289 0.876 0.438 F
0.789 0.624 0.938 F
0.289 0.376 0.062 F
0.074 0.813 0.830 F
0.789 0.124 0.562 F
0.074 0.313 0.670 F
0.242 0.016 0.657 Rb
0.242 0.516 0.843 Rb
0.742 0.484 0.157 Rb
0.742 0.984 0.343 Rb
0.248 0.671 0.409 Sb
0.248 0.171 0.091 Sb
0.748 0.329 0.591 Sb
0.748 0.829 0.909 Sb
```

Summary:
The total energy comes out at -5.779 eV/atom.

(9)
First-principles (PBEsol) data for a geometry-optimized RbSi3Cl structure, as listed in the Alexandria database.

The structure in POSCAR format:
```
RbSi3Cl
1.0
-0.321 1.797 -4.635
-4.967 0.062 0.368
0.191 4.646 1.788
Si Cl Rb
3 1 1
Direct
0.500 0.000 0.000 Si
0.000 0.500 0.000 Si
0.000 0.000 0.500 Si
0.000 0.000 0.000 Cl
0.500 0.500 0.500 Rb
```

Summary:
The total energy comes out at -3.130 eV/atom.

(10)
First-principles (PBEsol) data for a geometry-optimized AlH3O3 structure, as listed in the Alexandria database.

The structure in POSCAR format:
```
AlH3O3
1.0
4.597 -0.012 0.000
0.037 4.840 0.000
-0.019 -2.420 4.459
H O Al
6 6 2
Direct
0.425 0.396 0.000 H
0.581 0.979 0.544 H
0.581 0.434 0.456 H
0.276 0.040 0.220 H
0.276 0.821 0.780 H
0.750 0.821 0.000 H
0.779 0.619 0.000 O
0.224 0.321 0.000 O
0.239 0.987 0.381 O
0.776 0.972 0.629 O
0.776 0.344 0.371 O
0.239 0.606 0.619 O
0.999 0.315 0.675 Al
0.999 0.640 0.325 Al
```

Summary:
Its offset from the most stable computed form is 12 meV per atom.

(11)
First-principles (PBEsol) data for a geometry-optimized Ho3Fe2Si3 structure, as listed in the Alexandria database.

The structure in POSCAR format:
```
Ho3Fe2Si3
1.0
-2.832 0.803 -2.748
-2.075 -2.876 4.249
-2.890 11.416 6.317
Ho Si Fe
6 6 4
Direct
0.919 0.837 0.888 Ho
0.919 0.837 0.612 Ho
0.633 0.266 0.750 Ho
0.081 0.163 0.388 Ho
0.367 0.734 0.250 Ho
0.081 0.163 0.112 Ho
0.678 0.356 0.250 Si
0.322 0.644 0.750 Si
0.376 0.752 0.460 Si
0.376 0.752 0.040 Si
0.624 0.248 0.540 Si
0.624 0.248 0.960 Si
0.785 0.570 0.081 Fe
0.215 0.430 0.581 Fe
0.785 0.570 0.419 Fe
0.215 0.430 0.919 Fe
```

Summary:
The total energy comes out at -6.988 eV/atom.

(12)
First-principles (PBEsol) data for a geometry-optimized Ba2PbCl structure, as listed in the Alexandria database.

The structure in POSCAR format:
```
Ba2PbCl
1.0
-1.752 3.722 -0.053
-3.786 -1.768 1.017
1.917 1.026 8.626
Pb Ba Cl
1 2 1
Direct
0.500 0.500 0.000 Pb
0.000 0.996 0.770 Ba
0.000 0.004 0.230 Ba
0.500 0.000 0.500 Cl
```

Summary:
Its offset from the most stable computed form is 9 meV per atom.

(13)
First-principles (PBEsol) data for a geometry-optimized ReTc structure, as listed in the Alexandria database.

The structure in POSCAR format:
```
ReTc
1.0
-1.892 -1.572 1.196
0.536 -3.036 -3.143
3.378 -2.090 2.594
Re Tc
2 2
Direct
0.000 0.250 0.666 Re
0.000 0.750 0.334 Re
0.500 0.750 0.833 Tc
0.500 0.250 0.167 Tc
```

Summary:
Its offset from the most stable computed form is 5 meV per atom. The calculated formation energy is -0.002 eV per atom.

(14)
First-principles (PBEsol) data for a geometry-optimized Ca3In2N4 structure, as listed in the Alexandria database.

The structure in POSCAR format:
```
Ca3In2N4
1.0
-1.737 -4.207 3.789
6.523 -2.370 0.269
-0.193 4.646 5.159
Ca N In
6 8 4
Direct
0.750 0.387 0.387 Ca
0.948 0.980 0.757 Ca
0.250 0.613 0.613 Ca
0.052 0.020 0.243 Ca
0.552 0.757 0.980 Ca
0.448 0.243 0.020 Ca
0.037 0.255 0.554 N
0.508 0.055 0.271 N
0.963 0.745 0.446 N
0.492 0.945 0.729 N
0.992 0.271 0.055 N
0.463 0.554 0.255 N
0.537 0.446 0.745 N
0.008 0.729 0.945 N
0.383 0.179 0.580 In
0.117 0.580 0.179 In
0.883 0.420 0.821 In
0.617 0.821 0.420 In
```

Summary:
The total energy comes out at -5.733 eV/atom.

(15)
First-principles (PBEsol) data for a geometry-optimized Li2AlTl structure, as listed in the Alexandria database.

The structure in POSCAR format:
```
Li2AlTl
1.0
-2.472 -0.236 -2.115
2.946 -1.404 -3.287
-0.675 -4.400 1.281
Li Tl Al
2 1 1
Direct
0.000 0.500 0.000 Li
0.000 0.000 0.500 Li
0.500 0.000 0.000 Tl
0.500 0.500 0.500 Al
```

Summary:
The calculated formation energy is -0.152 eV per atom.

(16)
First-principles (PBEsol) data for a geometry-optimized NiOsO3 structure, as listed in the Alexandria database.

The structure in POSCAR format:
```
NiOsO3
1.0
-2.367 1.865 -2.335
-2.701 -2.609 0.654
-1.278 2.060 2.941
Ni Os O
1 1 3
Direct
0.500 0.500 0.500 Ni
0.000 0.000 0.000 Os
0.000 0.000 0.500 O
0.000 0.500 0.000 O
0.500 0.000 0.000 O
```

Summary:
The total energy comes out at -6.983 eV/atom.

(17)
First-principles (PBEsol) data for a geometry-optimized TbTi2Ga4 structure, as listed in the Alexandria database.

The structure in POSCAR format:
```
TbTi2Ga4
1.0
5.370 0.000 0.000
2.685 4.724 0.000
2.685 0.000 4.724
Ga Tb Ti
4 1 2
Direct
0.697 0.000 0.607 Ga
0.303 0.000 0.393 Ga
0.697 0.607 0.000 Ga
0.303 0.393 0.000 Ga
0.000 0.000 0.000 Tb
0.250 0.500 0.500 Ti
0.750 0.500 0.500 Ti
```

Summary:
The calculated formation energy is -0.590 eV per atom.

(18)
First-principles (PBEsol) data for a geometry-optimized GeSb2TeH structure, as listed in the Alexandria database.

The structure in POSCAR format:
```
GeSb2TeH
1.0
5.291 0.000 0.000
0.000 5.291 0.000
0.000 0.000 5.436
Ge Sb Te H
1 2 1 1
Direct
0.000 0.000 0.000 Ge
0.000 0.500 0.000 Sb
0.500 0.000 0.000 Sb
0.000 0.000 0.500 Te
0.500 0.500 0.500 H
```

Summary:
The total energy comes out at -3.106 eV/atom.

(19)
First-principles (PBEsol) data for a geometry-optimized AlCrAu structure, as listed in the Alexandria database.

The structure in POSCAR format:
```
AlCrAu
1.0
-0.361 2.713 -1.038
-2.462 0.974 3.402
4.261 0.632 0.171
Al Cr Au
1 1 1
Direct
0.000 0.000 0.000 Al
0.500 0.667 0.333 Cr
0.000 0.333 0.667 Au
```

Summary:
The calculated formation energy is -0.004 eV per atom.

(20)
First-principles (PBEsol) data for a geometry-optimized TlTe2OsN structure, as listed in the Alexandria database.

The structure in POSCAR format:
```
TlTe2OsN
1.0
3.665 0.000 0.000
0.000 5.565 0.000
0.000 0.000 5.565
Os N Te Tl
1 1 2 1
Direct
0.000 0.000 0.000 Os
0.500 0.000 0.000 N
0.000 0.500 0.000 Te
0.000 0.000 0.500 Te
0.500 0.500 0.500 Tl
```

Summary:
The total energy comes out at -5.865 eV/atom.

(21)
First-principles (PBEsol) data for a geometry-optimized Sr2HAu structure, as listed in the Alexandria database.

The structure in POSCAR format:
```
Sr2HAu
1.0
5.199 0.000 0.000
2.600 4.503 0.000
2.600 1.501 4.245
Au H Sr
1 1 2
Direct
0.500 0.500 0.500 Au
0.000 0.000 0.000 H
0.250 0.250 0.250 Sr
0.750 0.750 0.750 Sr
```

Summary:
The total energy comes out at -2.985 eV/atom.

(22)
First-principles (PBEsol) data for a geometry-optimized CdTcRh structure, as listed in the Alexandria database.

The structure in POSCAR format:
```
CdTcRh
1.0
-2.748 -2.761 -1.610
1.138 -4.019 -0.567
-1.634 -3.018 2.447
Cd Tc Rh
1 1 1
Direct
0.500 0.500 0.500 Cd
0.000 0.000 0.000 Tc
0.250 0.250 0.250 Rh
```

Summary:
The calculated formation energy is 0.560 eV per atom.

(23)
First-principles (PBEsol) data for a geometry-optimized LiAlO2 structure, as listed in the Alexandria database.

The structure in POSCAR format:
```
LiAlO2
1.0
4.406 0.000 0.000
0.000 4.406 0.000
-2.203 -2.203 4.163
Al O Li
2 4 2
Direct
0.000 0.000 0.000 Al
0.250 0.750 0.500 Al
0.916 0.375 0.250 O
0.334 0.875 0.250 O
0.125 0.084 0.750 O
0.625 0.666 0.750 O
0.500 0.500 0.000 Li
0.750 0.250 0.500 Li
```

Summary:
The total energy comes out at -6.858 eV/atom.

(24)
First-principles (PBEsol) data for a geometry-optimized K2MgSe structure, as listed in the Alexandria database.

The structure in POSCAR format:
```
K2MgSe
1.0
3.792 0.000 0.000
0.000 3.792 0.000
0.000 0.000 10.028
K Se Mg
2 1 1
Direct
0.500 0.500 0.319 K
0.000 0.000 0.913 K
0.500 0.500 0.680 Se
0.000 0.000 0.588 Mg
```

Summary:
Its offset from the most stable computed form is 0 meV per atom.